A plane-wave DFT calculation with PBE was carried out for an optimized crystal structure of Pr6MgPd.

SG: P-1
electronic total energy: -4.343 eV/atom
calculated formation energy: 90 meV/atom

Cell lengths 6.9652, 6.9718, 8.0122 Å; angles 64.23, 64.25, 60.06 degrees
With the nearest neighbours (Å) after each atom.
Atoms (fractional coordinates):
Pr 0.0323 0.4298 0.2318  1 Pd 2.88, 1 Mg 3.14
Pr 0.1946 0.9676 0.7681  1 Pd 2.88, 1 Mg 3.14
Pr 0.4291 0.8062 0.2316  1 Pd 2.88, 1 Mg 3.14
Pr 0.5709 0.1938 0.7684  1 Pd 2.88, 1 Mg 3.14
Pr 0.8054 0.0324 0.2319  1 Pd 2.88, 1 Mg 3.14
Pr 0.9677 0.5702 0.7682  1 Pd 2.88, 1 Mg 3.14
Mg 0.5000 0.5000 0.0000  6 Pr 3.14
Pd 0.0000 0.0000 0.5000  6 Pr 2.88